# 1
The following is a DFT calculation (GGA-PBE) of crystalline InAgP2H2O8 at its relaxed geometry.

Values from the calculation:
* symmetry: No. 14
* energy: -6.14 eV per atom
* ρ: 4.4 g cm⁻³

Cell: 6.5898 14.4413 6.6536 Å, 90.00 95.68 90.00°
Positions (direct):
In 0.2313 0.3935 0.8776
H 0.5369 0.2426 0.9130
P 0.7511 0.1211 0.5091
H 0.4631 0.7574 0.0870
H 0.9534 0.2216 0.7068
P 0.7511 0.3789 0.0091
Ag 0.7874 0.0730 0.0165
O 0.2722 0.9599 0.3446
O 0.4550 0.6496 0.1059
P 0.2700 0.3479 0.3785
O 0.1577 0.2549 0.3407
H 0.9534 0.2784 0.2068
O 0.9035 0.4011 0.8550
O 0.2722 0.5401 0.8446
O 0.1924 0.4031 0.5539
Ag 0.2126 0.9270 0.9835
O 0.2420 0.0901 0.6928
H 0.0466 0.7784 0.2932
O 0.8128 0.2888 0.1332
O 0.5029 0.1746 0.9363
O 0.1872 0.7888 0.3668
O 0.0965 0.5989 0.1450
P 0.2489 0.8789 0.4909
O 0.7278 0.4599 0.1554
O 0.0965 0.9011 0.6450
O 0.8128 0.2112 0.6332
In 0.7687 0.6065 0.1224
O 0.7278 0.0401 0.6554
O 0.4971 0.8254 0.0637
P 0.2700 0.1521 0.8785
O 0.7580 0.9099 0.3071
O 0.7580 0.5901 0.8072
P 0.2489 0.6211 0.9909
O 0.8423 0.7549 0.1593
P 0.7300 0.6521 0.6215
O 0.1577 0.2451 0.8407
O 0.9035 0.0989 0.3550
O 0.4551 0.8504 0.6059
O 0.1924 0.0969 0.0539
O 0.4971 0.6746 0.5637
O 0.1872 0.7112 0.8668
O 0.5449 0.1496 0.3941
In 0.7687 0.8935 0.6224
O 0.5450 0.3504 0.8941
O 0.8076 0.5969 0.4461
O 0.2420 0.4099 0.1929
Ag 0.7874 0.4270 0.5165
H 0.4631 0.7426 0.5870
Ag 0.2126 0.5730 0.4835
H 0.0466 0.7216 0.7932
O 0.8076 0.9031 0.9461
O 0.8423 0.7451 0.6593
H 0.5369 0.2574 0.4130
O 0.5029 0.3254 0.4363
In 0.2313 0.1065 0.3776
P 0.7300 0.8479 0.1215

# 2
The following is a DFT calculation (GGA-PBE) of crystalline Li2AgH6Ir at its relaxed geometry.

Values from the calculation:
* magnetization: 0.0 μB/cell
* symmetry: No. 225
* energy: -3.79 eV per atom
* ρ: 5.9 g cm⁻³

Cell: 5.0208 5.0208 5.0208 Å, 60.00 60.00 60.00°
Positions (direct):
H 0.7647 0.7647 0.2353
H 0.2353 0.7647 0.2353
Ag 0.5000 0.5000 0.5000
H 0.2353 0.2353 0.7647
H 0.2353 0.7647 0.7647
H 0.7647 0.2353 0.2353
Li 0.2500 0.2500 0.2500
Ir 0.0000 0.0000 0.0000
H 0.7647 0.2353 0.7647
Li 0.7500 0.7500 0.7500

# 3
The following is a DFT calculation (GGA-PBE) of crystalline Rb2AgH6Ir at its relaxed geometry.

Values from the calculation:
* magnetization: 0.0 μB/cell
* symmetry: No. 12
* energy: -3.53 eV per atom
* ρ: 5.9 g cm⁻³

Cell: 5.6226 5.6226 6.1235 Å, 122.97 122.97 65.97°
Positions (direct):
H 0.7999 0.1952 0.3000
Ir 0.0000 0.0000 0.5000
Rb 0.2499 0.2499 0.2508
H 0.2001 0.8048 0.7000
Ag 0.5000 0.5000 0.0000
Rb 0.7501 0.7501 0.7492
H 0.8048 0.2001 0.7000
H 0.2407 0.2407 0.7328
H 0.1952 0.7999 0.3000
H 0.7593 0.7593 0.2672

# 4
The following is a DFT calculation (GGA-PBE) of crystalline Y2AgH6Ir at its relaxed geometry.

Values from the calculation:
* magnetization: 0.0 μB/cell
* symmetry: No. 225
* energy: -4.79 eV per atom
* ρ: 7.6 g cm⁻³

Cell: 5.2977 5.2977 5.2977 Å, 60.00 60.00 60.00°
Positions (direct):
Ir 0.5000 0.5000 0.5000
Ag 0.0000 0.0000 0.0000
Y 0.7500 0.7500 0.7500
H 0.2682 0.7318 0.7318
H 0.7318 0.2682 0.7318
H 0.7318 0.2682 0.2682
H 0.2682 0.2682 0.7318
Y 0.2500 0.2500 0.2500
H 0.2682 0.7318 0.2682
H 0.7318 0.7318 0.2682

# 5
The following is a DFT calculation (GGA-PBE) of crystalline K2NiAgH6 at its relaxed geometry.

Values from the calculation:
* magnetization: 0.0 μB/cell
* symmetry: No. 225
* energy: -3.17 eV per atom
* ρ: 3.7 g cm⁻³

Cell: 5.4045 5.4045 5.4045 Å, 60.00 60.00 60.00°
Positions (direct):
Ag 0.5000 0.5000 0.5000
Ni 0.0000 0.0000 0.0000
H 0.2101 0.7899 0.2101
K 0.2500 0.2500 0.2500
H 0.7899 0.2101 0.2101
H 0.2101 0.2101 0.7899
H 0.7899 0.2101 0.7899
K 0.7500 0.7500 0.7500
H 0.2101 0.7899 0.7899
H 0.7899 0.7899 0.2101

# 6
The following is a DFT calculation (GGA-PBE) of crystalline K3Ag2P4HO14 at its relaxed geometry.

Values from the calculation:
* symmetry: No. 2
* energy: -6.12 eV per atom
* ρ: 3.3 g cm⁻³

Cell: 5.4799 5.6245 12.7550 Å, 89.32 101.15 117.79°
Positions (direct):
O 0.2891 0.6436 0.8836
P 0.4187 0.4738 0.8482
Ag 0.0132 0.7475 0.7712
O 0.7552 0.8919 0.6740
Ag 0.9868 0.2525 0.2288
O 0.7437 0.6320 0.8853
O 0.6583 0.4318 0.4733
K 0.2032 0.8509 0.0647
P 0.5813 0.5262 0.1518
O 0.2933 0.1905 0.8810
H 0.5000 0.5000 0.5000
O 0.7202 0.1398 0.3413
K 0.0000 0.0000 0.5000
O 0.3510 0.4527 0.7163
O 0.7109 0.3564 0.1164
O 0.2563 0.3680 0.1147
O 0.2798 0.8602 0.6587
P 0.5641 0.2960 0.3584
O 0.6490 0.5473 0.2837
K 0.7968 0.1491 0.9353
O 0.7067 0.8095 0.1190
O 0.3417 0.5682 0.5267
O 0.2448 0.1081 0.3260
P 0.4359 0.7040 0.6416

# 7
The following is a DFT calculation (GGA-PBE) of crystalline K2ScAgH6 at its relaxed geometry.

Values from the calculation:
* magnetization: 0.0 μB/cell
* symmetry: No. 225
* energy: -3.30 eV per atom
* ρ: 2.9 g cm⁻³

Cell: 5.7876 5.7876 5.7876 Å, 60.00 60.00 60.00°
Positions (direct):
H 0.7464 0.2536 0.2536
H 0.7464 0.7464 0.2536
Ag 0.0000 0.0000 0.0000
K 0.7500 0.7500 0.7500
K 0.2500 0.2500 0.2500
H 0.7464 0.2536 0.7464
H 0.2536 0.7464 0.2536
H 0.2536 0.7464 0.7464
Sc 0.5000 0.5000 0.5000
H 0.2536 0.2536 0.7464

# 8
The following is a DFT calculation (GGA-PBE) of crystalline K2AgH6W at its relaxed geometry.

Values from the calculation:
* magnetization: 3.0 μB/cell
* symmetry: No. 12
* energy: -3.69 eV per atom
* ρ: 4.8 g cm⁻³

Cell: 5.6507 5.6507 5.7201 Å, 120.40 120.40 60.78°
Positions (direct):
H 0.7682 0.2346 0.7338
H 0.7612 0.7612 0.2650
H 0.2346 0.7682 0.7338
H 0.2388 0.2388 0.7350
H 0.7654 0.2318 0.2662
K 0.7501 0.7501 0.7500
K 0.2499 0.2499 0.2500
H 0.2318 0.7654 0.2662
W 0.0000 0.0000 0.5000
Ag 0.5000 0.5000 0.0000

# 9
The following is a DFT calculation (GGA-PBE) of crystalline LaAgSn2H at its relaxed geometry.

Values from the calculation:
* magnetization: 0.0 μB/cell
* symmetry: No. 119
* energy: -3.88 eV per atom
* ρ: 7.0 g cm⁻³

Cell: 6.1897 6.1897 6.1897 Å, 135.30 135.30 65.06°
Positions (direct):
H 0.2500 0.7500 0.5000
La 0.0000 0.0000 0.0000
Sn 0.3653 0.3653 0.0000
Sn 0.6347 0.6347 0.0000
Ag 0.7500 0.2500 0.5000

# 10
The following is a DFT calculation (GGA-PBE) of crystalline LiAg2P3H2O10 at its relaxed geometry.

Values from the calculation:
* symmetry: No. 2
* energy: -6.10 eV per atom
* ρ: 3.8 g cm⁻³

Cell: 8.3400 7.5572 7.5057 Å, 107.83 105.73 72.38°
Positions (direct):
H 0.2793 0.9869 0.6242
O 0.2084 0.3932 0.4319
H 0.7207 0.0131 0.3758
Ag 0.9915 0.2913 0.5845
O 0.3396 0.0451 0.3305
P 0.2709 0.2419 0.2643
O 0.3041 0.7856 0.4408
P 0.6731 0.1744 0.7339
O 0.1336 0.7949 0.7657
H 0.1834 0.0055 0.7790
P 0.9087 0.2846 0.0960
O 0.7916 0.6068 0.5681
P 0.3269 0.8256 0.2661
O 0.1115 0.2083 0.0933
P 0.7291 0.7581 0.7357
Ag 0.5987 0.4404 0.3406
O 0.8664 0.2051 0.2343
O 0.8536 0.1650 0.8808
O 0.1470 0.5049 0.8872
O 0.8885 0.7917 0.9067
O 0.2290 0.0854 0.7305
O 0.7710 0.9146 0.2695
O 0.4699 0.7009 0.1670
O 0.6604 0.9549 0.6695
O 0.6959 0.2144 0.5592
O 0.8530 0.4951 0.1128
O 0.5981 0.7375 0.8260
Li 0.3359 0.2878 0.9115
P 0.0913 0.7154 0.9040
O 0.4019 0.2625 0.1740
Ag 0.0085 0.7087 0.4155
O 0.5301 0.2991 0.8330
Li 0.6641 0.7122 0.0885
Ag 0.4013 0.5596 0.6594
H 0.8166 0.9945 0.2210
O 0.1464 0.8350 0.1192

# 11
The following is a DFT calculation (GGA-PBE) of crystalline Li3Ag2P4HO14 at its relaxed geometry.

Values from the calculation:
* symmetry: No. 2
* energy: -6.20 eV per atom
* ρ: 3.6 g cm⁻³

Cell: 5.2454 4.9966 12.5984 Å, 78.22 104.77 122.32°
Positions (direct):
O 0.7948 0.7963 0.0864
O 0.4686 0.8097 0.8740
O 0.2051 0.2037 0.9136
O 0.3538 0.4476 0.7321
O 0.7766 0.5332 0.8965
O 0.7200 0.1043 0.3786
O 0.2953 0.4936 0.5286
O 0.2802 0.8958 0.6213
O 0.7771 0.9164 0.6372
O 0.7048 0.5065 0.4714
O 0.6461 0.5524 0.2679
P 0.5427 0.4993 0.1367
Li 0.8491 0.1630 0.9684
Ag 0.0734 0.8100 0.7635
Li 0.1508 0.8370 0.0316
Ag 0.9265 0.1900 0.2365
P 0.4274 0.6998 0.6250
Li 0.0000 0.0002 0.5000
O 0.2233 0.4668 0.1036
P 0.4572 0.5006 0.8632
O 0.5316 0.1903 0.1261
O 0.2228 0.0837 0.3628
P 0.5725 0.3000 0.3750
H 0.5002 0.5001 0.5000

# 12
The following is a DFT calculation (GGA-PBE) of crystalline Li2AgH6Os at its relaxed geometry.

Values from the calculation:
* magnetization: 0.5 μB/cell
* symmetry: No. 225
* energy: -3.79 eV per atom
* ρ: 6.0 g cm⁻³

Cell: 5.0000 5.0000 5.0000 Å, 60.00 60.00 60.00°
Positions (direct):
H 0.2406 0.7594 0.7594
Li 0.7500 0.7500 0.7500
H 0.7594 0.7594 0.2406
H 0.2406 0.2406 0.7594
Li 0.2500 0.2500 0.2500
H 0.7594 0.2406 0.7594
Ag 0.5000 0.5000 0.5000
Os 0.0000 0.0000 0.0000
H 0.7594 0.2406 0.2406
H 0.2406 0.7594 0.2406

# 13
The following is a DFT calculation (GGA-PBE) of crystalline Sr2MgAgH6 at its relaxed geometry.

Values from the calculation:
* symmetry: No. 225
* energy: -3.00 eV per atom
* ρ: 4.1 g cm⁻³

Cell: 5.6206 5.6206 5.6206 Å, 60.00 60.00 60.00°
Positions (direct):
H 0.2539 0.7461 0.2539
H 0.2539 0.2539 0.7461
Mg 0.5000 0.5000 0.5000
H 0.2539 0.7461 0.7461
Ag 0.0000 0.0000 0.0000
H 0.7461 0.7461 0.2539
H 0.7461 0.2539 0.7461
Sr 0.7500 0.7500 0.7500
Sr 0.2500 0.2500 0.2500
H 0.7461 0.2539 0.2539

# 14
The following is a DFT calculation (GGA-PBE) of crystalline AgMoH4S4N at its relaxed geometry.

Values from the calculation:
* magnetization: 0.0 μB/cell
* symmetry: No. 82
* energy: -5.10 eV per atom
* ρ: 3.1 g cm⁻³

Cell: 6.3551 6.3551 6.3551 Å, 102.10 102.10 125.50°
Positions (direct):
S 0.0914 0.4119 0.9171
S 0.4948 0.1743 0.0829
H 0.3168 0.7493 0.3642
Mo 0.5000 0.5000 0.0000
S 0.5881 0.5052 0.6795
H 0.0475 0.6832 0.4325
H 0.2507 0.6150 0.5675
H 0.3850 0.9525 0.6358
S 0.8257 0.9086 0.3205
Ag 0.0000 0.0000 0.0000
N 0.2500 0.7500 0.5000

# 15
The following is a DFT calculation (GGA-PBE) of crystalline AgMoH4Se4N at its relaxed geometry.

Values from the calculation:
* magnetization: 0.0 μB/cell
* symmetry: No. 1
* energy: -4.82 eV per atom
* ρ: 4.3 g cm⁻³

Cell: 5.9483 6.5512 6.6837 Å, 75.48 63.67 63.60°
Positions (direct):
Se 0.9233 0.4010 0.8222
Mo 0.2538 0.4918 0.4995
Se 0.1655 0.5842 0.1667
Se 0.6619 0.1626 0.4333
H 0.3875 0.1644 0.0784
Ag 0.7559 0.4939 0.4941
H 0.5465 0.0441 0.8290
H 0.3749 0.9133 0.0645
H 0.6681 0.9190 0.0358
N 0.4942 0.0095 0.0024
Se 0.2684 0.8162 0.5741

# 16
The following is a DFT calculation (GGA-PBE) of crystalline Ag4HN at its relaxed geometry.

Values from the calculation:
* symmetry: No. 88
* energy: -3.21 eV per atom
* ρ: 8.8 g cm⁻³

Cell: 6.9212 6.9212 6.9212 Å, 134.06 134.06 66.99°
Positions (direct):
Ag 0.5920 0.9846 0.9282
Ag 0.0564 0.6638 0.0718
N 0.0000 0.0000 0.0000
N 0.7500 0.2500 0.5000
Ag 0.0154 0.9436 0.6074
H 0.5000 0.5000 0.0000
Ag 0.3362 0.4080 0.3926
Ag 0.6936 0.5862 0.4282
Ag 0.1580 0.2654 0.5718
Ag 0.4138 0.8420 0.1074
Ag 0.7346 0.3064 0.8926
H 0.2500 0.7500 0.5000